Entry from Alexandria: a relaxed structure of NaVPtO6 (PBE with a Hubbard U).

Output
- SG = P-31c
- crystal system = trigonal
- M_tot (Bohr magnetons per cell) = 4.0
- total energy (eV/atom) = -6.02

Cell: 5.166 5.166 10.319 Å, 90.00 90.00 120.00°
Fractional positions:
1 Na 0.000 0.000 0.000
2 Na 0.000 0.000 0.500
3 V 0.333 0.667 0.250
4 V 0.667 0.333 0.750
5 Pt 0.333 0.667 0.750
6 Pt 0.667 0.333 0.250
7 O 0.011 0.376 0.149
8 O 0.011 0.635 0.351
9 O 0.365 0.376 0.351
10 O 0.365 0.989 0.149
11 O 0.376 0.011 0.649
12 O 0.376 0.365 0.851
13 O 0.624 0.635 0.149
14 O 0.624 0.989 0.351
15 O 0.635 0.011 0.851
16 O 0.635 0.624 0.649
17 O 0.989 0.365 0.649
18 O 0.989 0.624 0.851